Computed, not measured: crystalline BaP2Pd2 at its relaxed geometry at the PBE level of DFT.

Its size of the total moment is 0.00 μB per cell. The calculation puts the total energy at -4.84 eV per atom. As for the energy relative to the elements: -0.2114 eV per atom.

The space group is P4/mbm (No. 127) and the conventional cell measures 7.931, 7.931 and 3.128 Å, with angles of 90.00, 90.00 and 90.00 degrees. The inequivalent atoms are Ba at (0.000, 0.000, 0.000), P at (0.143, 0.357, 0.500) and Pd at (0.120, 0.620, 0.000).


Computed, not measured: crystalline BaP2Pd3 at its relaxed geometry at the PBE level of DFT.

Its size of the total moment is 0.00 μB per cell. The calculation puts the total energy at -5.42 eV per atom. As for the energy relative to the elements: -0.6954 eV per atom.

The space group is C2/m (No. 12) and the conventional cell measures 15.171, 4.163 and 8.279 Å, with angles of 90.00, 114.34 and 90.00 degrees. The inequivalent atoms are Ba at (0.140, 0.000, 0.056), P at (0.025, 0.500, 0.232), P at (0.187, 0.000, 0.689), Pd at (0.058, 0.000, 0.395), Pd at (0.100, 0.500, 0.666) and Pd at (0.191, 0.500, 0.420).


Computed, not measured: crystalline Ba3P2Pd5 at its relaxed geometry at the PBE level of DFT.

Its size of the total moment is 0.00 μB per cell. The calculation puts the total energy at -4.77 eV per atom. As for the energy relative to the elements: -0.5163 eV per atom.

The space group is Ibam (No. 72) and the conventional cell measures 9.303, 14.167 and 7.219 Å, with angles of 90.00, 90.00 and 90.00 degrees. The inequivalent atoms are Ba at (0.000, 0.000, 0.250), Ba at (0.231, 0.367, 0.000), P at (0.089, 0.167, 0.000), Pd at (0.000, 0.256, 0.250), Pd at (0.000, 0.500, 0.250) and Pd at (0.178, 0.391, 0.500).


Computed, not measured: crystalline BaP4Pd12 at its relaxed geometry at the PBE level of DFT.

Its size of the total moment is 0.00 μB per cell. The calculation puts the total energy at -5.46 eV per atom. As for the energy relative to the elements: -0.4086 eV per atom.

The space group is Im-3 (No. 204) and the conventional cell measures 8.480, 8.480 and 8.480 Å, with angles of 90.00, 90.00 and 90.00 degrees. The inequivalent atoms are Ba at (0.000, 0.000, 0.000), P at (0.250, 0.250, 0.250) and Pd at (0.000, 0.341, 0.186).


Computed, not measured: crystalline Ba2P4Pd5 at its relaxed geometry at the PBE level of DFT.

Its size of the total moment is 0.00 μB per cell. The calculation puts the total energy at -5.38 eV per atom. As for the energy relative to the elements: -0.7077 eV per atom.

The space group is Fmmm (No. 69) and the conventional cell measures 6.071, 11.531 and 12.788 Å, with angles of 90.00, 90.00 and 90.00 degrees. The inequivalent atoms are Ba at (0.000, 0.000, 0.149), P at (0.000, 0.157, 0.374), Pd at (0.000, 0.000, 0.500), Pd at (0.250, 0.250, 0.000) and Pd at (0.250, 0.250, 0.250).


Computed, not measured: crystalline BaP2Pd5 at its relaxed geometry at the PBE level of DFT.

Its size of the total moment is 0.00 μB per cell. The calculation puts the total energy at -5.48 eV per atom. As for the energy relative to the elements: -0.6463 eV per atom.

The space group is Immm (No. 71) and the conventional cell measures 4.189, 6.989 and 9.973 Å, with angles of 90.00, 90.00 and 90.00 degrees. The inequivalent atoms are Ba at (0.000, 0.000, 0.000), P at (0.000, 0.500, 0.233), Pd at (0.000, 0.194, 0.336) and Pd at (0.000, 0.500, 0.000).